# PBE La2ScCu, relaxed
data_La2ScCu
_space_group_name_H-M_alt 'C m m m'
_space_group_IT_number 65
_space_group_name_Hall '-C 2 2'
_cell_length_a 7.7577
_cell_length_b 7.7747
_cell_length_c 3.6132
_cell_angle_alpha 90.00
_cell_angle_beta 90.00
_cell_angle_gamma 90.00
loop_
_atom_site_label
_atom_site_type_symbol
_atom_site_fract_x
_atom_site_fract_y
_atom_site_fract_z
La1 La 0.2500 0.2500 0.0000
Sc1 Sc 0.0000 0.0000 0.5000
Cu1 Cu 0.0000 0.5000 0.5000
# VASP energy: -40.1 eV/cell
# D(E_F): 11.2 states/eV per cell
# energy above the most stable polymorph in this dataset: 10.86 kJ/mol of atoms
# theoretical density: 5.887 Mg/m³
# formation energy: 0.05 eV/atom